1.
Crystalline Ba2LaRe at its relaxed geometry, computed with GGA-PBE. Values from VASP.

Summary:
energy: -50.79 eV for the cell shown
DFT formation energy: 1.07 eV/atom
ΔE to the lowest computed polymorph: 570 meV/atom

```
&SYSTEM
  ibrav = 0, nat = 12, ntyp = 3
/
ATOMIC_SPECIES
Ba 137.33 Ba.upf
La 138.91 La.upf
Re 186.21 Re.upf
ATOMIC_POSITIONS crystal
Ba 0.000 0.000 0.231
Ba 0.000 0.000 0.769
Ba 0.333 0.667 0.436
Ba 0.333 0.667 0.897
Ba 0.667 0.333 0.103
Ba 0.667 0.333 0.564
La 0.000 0.000 0.000
La 0.333 0.667 0.667
La 0.667 0.333 0.333
Re 0.000 0.000 0.500
Re 0.333 0.667 0.167
Re 0.667 0.333 0.833
CELL_PARAMETERS angstrom
3.750 0.000 0.000
-1.875 3.248 0.000
0.000 0.000 35.150
```

---

2.
Crystalline Li3Be2Au7 at its relaxed geometry, computed with GGA-PBE. Values from VASP.

Summary:
energy: -39.54 eV for the cell shown
DFT formation energy: -0.28 eV/atom

```
&SYSTEM
  ibrav = 0, nat = 12, ntyp = 3
/
ATOMIC_SPECIES
Li 6.94 Li.upf
Be 9.01 Be.upf
Au 196.97 Au.upf
ATOMIC_POSITIONS crystal
Li 0.000 0.000 0.000
Li 0.059 0.126 0.361
Li 0.941 0.874 0.639
Be 0.415 0.463 0.756
Be 0.585 0.537 0.244
Au 0.055 0.526 0.175
Au 0.456 0.967 0.822
Au 0.470 0.737 0.425
Au 0.500 0.500 0.000
Au 0.530 0.263 0.575
Au 0.544 0.033 0.178
Au 0.945 0.474 0.825
CELL_PARAMETERS angstrom
4.410 0.000 0.000
-0.681 4.451 0.000
-1.310 -0.721 10.552
```

---

3.
Crystalline MgCuC2 at its relaxed geometry, computed with GGA-PBE. Values from VASP.

Summary:
energy: -75.24 eV for the cell shown
DFT formation energy: 1.33 eV/atom

```
&SYSTEM
  ibrav = 0, nat = 16, ntyp = 3
/
ATOMIC_SPECIES
Mg 24.30 Mg.upf
Cu 63.55 Cu.upf
C 12.01 C.upf
ATOMIC_POSITIONS crystal
Mg 0.000 0.000 0.000
Mg 0.000 0.500 0.250
Mg 0.500 0.000 0.750
Mg 0.500 0.500 0.500
Cu 0.000 0.000 0.500
Cu 0.000 0.500 0.750
Cu 0.500 0.000 0.250
Cu 0.500 0.500 0.000
C 0.106 0.250 0.625
C 0.250 0.606 0.875
C 0.250 0.894 0.375
C 0.394 0.250 0.125
C 0.606 0.750 0.125
C 0.750 0.106 0.375
C 0.750 0.394 0.875
C 0.894 0.750 0.625
CELL_PARAMETERS angstrom
3.701 0.000 0.000
0.000 3.701 0.000
0.000 0.000 13.126
```

---

4.
Crystalline Na2HPdRh at its relaxed geometry, computed with GGA-PBE. Values from VASP.

Summary:
energy: -13.91 eV for the cell shown

```
&SYSTEM
  ibrav = 0, nat = 5, ntyp = 4
/
ATOMIC_SPECIES
Na 22.99 Na.upf
H 1.01 H.upf
Pd 106.42 Pd.upf
Rh 102.91 Rh.upf
ATOMIC_POSITIONS crystal
Na 0.000 0.500 0.000
Na 0.500 0.000 0.000
H 0.000 0.000 0.500
Pd 0.500 0.500 0.500
Rh 0.500 0.500 0.000
CELL_PARAMETERS angstrom
5.557 0.000 0.000
0.000 5.557 0.000
0.000 0.000 4.721
```